The following is a PBE-GGA calculation of a geometry-optimized Dy4Er4Th structure, from Alexandria via LeMat-Bulk.

```
data_Dy4Er4Th
_symmetry_space_group_name_H-M 'P 1'
_symmetry_Int_Tables_number 1
_cell_length_a 7.9014
_cell_length_b 7.9014
_cell_length_c 7.9014
_cell_angle_alpha 95.74
_cell_angle_beta 95.74
_cell_angle_gamma 143.11
loop_
_symmetry_equiv_pos_as_xyz
'x,y,z'
loop_
_atom_site_label
_atom_site_fract_x
_atom_site_fract_y
_atom_site_fract_z
_atom_site_occupancy
Dy1 0.0000 0.3314 0.3314 1
Dy2 0.0000 0.6686 0.6686 1
Dy3 0.3314 0.0000 0.3314 1
Dy4 0.6686 0.0000 0.6686 1
Er1 0.3353 0.3353 0.6706 1
Er2 0.3353 0.6647 0.0000 1
Er3 0.6647 0.3353 0.0000 1
Er4 0.6647 0.6647 0.3294 1
Th1 0.0000 0.0000 0.0000 1
```

Results
E_form   0.028 eV/atom
Space-group type   I4/mmm (139)

The following is a PBE-GGA calculation of a geometry-optimized Dy4Er2Th structure, from Alexandria via LeMat-Bulk.

```
data_Dy4Er2Th
_symmetry_space_group_name_H-M 'P 1'
_symmetry_Int_Tables_number 1
_cell_length_a 20.8633
_cell_length_b 20.8633
_cell_length_c 20.8633
_cell_angle_alpha 9.71
_cell_angle_beta 9.71
_cell_angle_gamma 9.71
loop_
_symmetry_equiv_pos_as_xyz
'x,y,z'
loop_
_atom_site_label
_atom_site_fract_x
_atom_site_fract_y
_atom_site_fract_z
_atom_site_occupancy
Dy1 0.1432 0.1432 0.1432 1
Dy2 0.2886 0.2886 0.2886 1
Dy3 0.7114 0.7114 0.7114 1
Dy4 0.8568 0.8568 0.8568 1
Er1 0.2348 0.2348 0.2348 1
Er2 0.7652 0.7652 0.7652 1
Th1 0.0000 0.0000 0.0000 1
```

Results
Energy above the lowest structure with this stoichiometry   46 kJ/mol of formula units
E_form   0.090 eV/atom
Space-group type   R-3m (166)

The following is a PBE-GGA calculation of a geometry-optimized Dy5ErTh structure, from Alexandria via LeMat-Bulk.

```
data_Dy5ErTh
_symmetry_space_group_name_H-M 'P 1'
_symmetry_Int_Tables_number 1
_cell_length_a 9.2657
_cell_length_b 9.2657
_cell_length_c 8.6159
_cell_angle_alpha 93.78
_cell_angle_beta 93.78
_cell_angle_gamma 141.51
loop_
_symmetry_equiv_pos_as_xyz
'x,y,z'
loop_
_atom_site_label
_atom_site_fract_x
_atom_site_fract_y
_atom_site_fract_z
_atom_site_occupancy
Dy1 0.0136 0.3863 0.6455 1
Dy2 0.1479 0.8521 0.7500 1
Dy3 0.2312 0.5398 0.0374 1
Dy4 0.3863 0.0136 0.1455 1
Dy5 0.4602 0.7688 0.4626 1
Dy6 0.5398 0.2312 0.5374 1
Dy7 0.6137 0.9864 0.8545 1
Dy8 0.7688 0.4602 0.9626 1
Dy9 0.8521 0.1479 0.2500 1
Dy10 0.9864 0.6137 0.3545 1
Er1 0.4867 0.5133 0.7500 1
Er2 0.5133 0.4867 0.2500 1
Th1 0.0000 0.0000 0.0000 1
Th2 0.0000 0.0000 0.5000 1
```

Results
E_form   0.200 eV/atom
Space-group type   C2/c (15)

The following is a PBE-GGA calculation of a geometry-optimized Dy3Er2Th structure, from Alexandria via LeMat-Bulk.

```
data_Dy3Er2Th
_symmetry_space_group_name_H-M 'P 1'
_symmetry_Int_Tables_number 1
_cell_length_a 8.0374
_cell_length_b 8.0374
_cell_length_c 6.3791
_cell_angle_alpha 90.00
_cell_angle_beta 90.00
_cell_angle_gamma 108.63
loop_
_symmetry_equiv_pos_as_xyz
'x,y,z'
loop_
_atom_site_label
_atom_site_fract_x
_atom_site_fract_y
_atom_site_fract_z
_atom_site_occupancy
Dy1 0.0883 0.9117 0.5000 1
Dy2 0.2481 0.3878 0.7631 1
Dy3 0.3878 0.2481 0.2631 1
Dy4 0.6122 0.7519 0.7631 1
Dy5 0.7519 0.6122 0.2631 1
Dy6 0.9117 0.0883 0.0000 1
Er1 0.1316 0.5058 0.2847 1
Er2 0.4942 0.8684 0.2847 1
Er3 0.5058 0.1316 0.7847 1
Er4 0.8684 0.4942 0.7847 1
Th1 0.1702 0.8298 0.9808 1
Th2 0.8298 0.1702 0.4808 1
```

Results
Energy above the lowest structure with this stoichiometry   83 kJ/mol of formula units
E_form   0.250 eV/atom
Space-group type   Cmc2_1 (36)

The following is a PBE-GGA calculation of a geometry-optimized DyEr6Th3 structure, from Alexandria via LeMat-Bulk.

```
data_DyEr6Th3
_symmetry_space_group_name_H-M 'P 1'
_symmetry_Int_Tables_number 1
_cell_length_a 6.9045
_cell_length_b 6.9045
_cell_length_c 6.9045
_cell_angle_alpha 90.29
_cell_angle_beta 90.29
_cell_angle_gamma 90.29
loop_
_symmetry_equiv_pos_as_xyz
'x,y,z'
loop_
_atom_site_label
_atom_site_fract_x
_atom_site_fract_y
_atom_site_fract_z
_atom_site_occupancy
Dy1 0.0000 0.0000 0.0000 1
Er1 0.0802 0.7482 0.4155 1
Er2 0.2518 0.5845 0.9198 1
Er3 0.4155 0.0802 0.7482 1
Er4 0.5845 0.9198 0.2518 1
Er5 0.7482 0.4155 0.0802 1
Er6 0.9198 0.2518 0.5845 1
Th1 0.2487 0.2487 0.2487 1
Th2 0.5000 0.5000 0.5000 1
Th3 0.7513 0.7513 0.7513 1
```

Results
Energy above the lowest structure with this stoichiometry   275 kJ/mol of formula units
E_form   0.365 eV/atom
Space-group type   R-3 (148)

The following is a PBE-GGA calculation of a geometry-optimized DyEr6Th12 structure, from Alexandria via LeMat-Bulk.

```
data_DyEr6Th12
_symmetry_space_group_name_H-M 'P 1'
_symmetry_Int_Tables_number 1
_cell_length_a 8.7053
_cell_length_b 8.7053
_cell_length_c 8.7053
_cell_angle_alpha 99.63
_cell_angle_beta 99.63
_cell_angle_gamma 99.63
loop_
_symmetry_equiv_pos_as_xyz
'x,y,z'
loop_
_atom_site_label
_atom_site_fract_x
_atom_site_fract_y
_atom_site_fract_z
_atom_site_occupancy
Dy1 0.0000 0.0000 0.0000 1
Er1 0.0991 0.0991 0.6620 1
Er2 0.0991 0.6620 0.0991 1
Er3 0.3380 0.9009 0.9009 1
Er4 0.6620 0.0991 0.0991 1
Er5 0.9009 0.3380 0.9009 1
Er6 0.9009 0.9009 0.3380 1
Th1 0.0827 0.3493 0.3493 1
Th2 0.2464 0.5000 0.7536 1
Th3 0.2464 0.7536 0.5000 1
Th4 0.3493 0.0827 0.3493 1
Th5 0.3493 0.3493 0.0827 1
Th6 0.5000 0.2464 0.7536 1
Th7 0.5000 0.7536 0.2464 1
Th8 0.6507 0.6507 0.9173 1
Th9 0.6507 0.9173 0.6507 1
Th10 0.7536 0.2464 0.5000 1
Th11 0.7536 0.5000 0.2464 1
Th12 0.9173 0.6507 0.6507 1
```

Results
E_form   0.243 eV/atom
Space-group type   R-3m (166)

The following is a PBE-GGA calculation of a geometry-optimized DyEr4Th6 structure, from Alexandria via LeMat-Bulk.

```
data_DyEr4Th6
_symmetry_space_group_name_H-M 'P 1'
_symmetry_Int_Tables_number 1
_cell_length_a 10.0563
_cell_length_b 10.0563
_cell_length_c 10.0563
_cell_angle_alpha 143.02
_cell_angle_beta 143.02
_cell_angle_gamma 53.29
loop_
_symmetry_equiv_pos_as_xyz
'x,y,z'
loop_
_atom_site_label
_atom_site_fract_x
_atom_site_fract_y
_atom_site_fract_z
_atom_site_occupancy
Dy1 0.0000 0.0000 0.0000 1
Er1 0.1896 0.1896 0.6321 1
Er2 0.4424 0.8104 0.0000 1
Er3 0.5576 0.5576 0.3679 1
Er4 0.8104 0.4424 0.0000 1
Th1 0.0000 0.5000 0.5000 1
Th2 0.0005 0.0005 0.6238 1
Th3 0.3768 0.3768 0.3762 1
Th4 0.5000 0.0000 0.5000 1
Th5 0.6232 0.9995 0.0000 1
Th6 0.9995 0.6232 0.0000 1
```

Results
E_form   0.420 eV/atom
Space-group type   I-42m (121)

The following is a PBE-GGA calculation of a geometry-optimized Dy9ErTh2 structure, from Alexandria via LeMat-Bulk.

```
data_Dy9ErTh2
_symmetry_space_group_name_H-M 'P 1'
_symmetry_Int_Tables_number 1
_cell_length_a 11.3163
_cell_length_b 11.3163
_cell_length_c 3.4636
_cell_angle_alpha 90.00
_cell_angle_beta 90.00
_cell_angle_gamma 120.00
loop_
_symmetry_equiv_pos_as_xyz
'x,y,z'
loop_
_atom_site_label
_atom_site_fract_x
_atom_site_fract_y
_atom_site_fract_z
_atom_site_occupancy
Dy1 0.0000 0.5000 0.0000 1
Dy2 0.1729 0.3458 0.5000 1
Dy3 0.1729 0.8271 0.5000 1
Dy4 0.3458 0.1729 0.5000 1
Dy5 0.5000 0.0000 0.0000 1
Dy6 0.5000 0.5000 0.0000 1
Dy7 0.6542 0.8271 0.5000 1
Dy8 0.8271 0.1729 0.5000 1
Dy9 0.8271 0.6542 0.5000 1
Er1 0.0000 0.0000 0.0000 1
Th1 0.3333 0.6667 0.0000 1
Th2 0.6667 0.3333 0.0000 1
```

Results
Energy above the lowest structure with this stoichiometry   88 kJ/mol of formula units
E_form   0.110 eV/atom
Space-group type   P6/mmm (191)

The following is a PBE-GGA calculation of a geometry-optimized Dy2Er7Th structure, from Alexandria via LeMat-Bulk.

```
data_Dy2Er7Th
_symmetry_space_group_name_H-M 'P 1'
_symmetry_Int_Tables_number 1
_cell_length_a 9.5396
_cell_length_b 9.5396
_cell_length_c 5.1903
_cell_angle_alpha 90.00
_cell_angle_beta 90.00
_cell_angle_gamma 126.21
loop_
_symmetry_equiv_pos_as_xyz
'x,y,z'
loop_
_atom_site_label
_atom_site_fract_x
_atom_site_fract_y
_atom_site_fract_z
_atom_site_occupancy
Dy1 0.2012 0.7988 0.0000 1
Dy2 0.7988 0.2012 0.0000 1
Er1 0.0000 0.0000 0.0000 1
Er2 0.2146 0.4305 0.0000 1
Er3 0.3033 0.6967 0.5000 1
Er4 0.4305 0.2146 0.0000 1
Er5 0.5695 0.7854 0.0000 1
Er6 0.6967 0.3033 0.5000 1
Er7 0.7854 0.5695 0.0000 1
Th1 0.5000 0.5000 0.5000 1
```

Results
E_form   0.731 eV/atom
Space-group type   Cmmm (65)

The following is a PBE-GGA calculation of a geometry-optimized Dy12Er7Th structure, from Alexandria via LeMat-Bulk.

```
data_Dy12Er7Th
_symmetry_space_group_name_H-M 'P 1'
_symmetry_Int_Tables_number 1
_cell_length_a 8.6458
_cell_length_b 8.6458
_cell_length_c 8.6458
_cell_angle_alpha 89.17
_cell_angle_beta 89.17
_cell_angle_gamma 89.17
loop_
_symmetry_equiv_pos_as_xyz
'x,y,z'
loop_
_atom_site_label
_atom_site_fract_x
_atom_site_fract_y
_atom_site_fract_z
_atom_site_occupancy
Dy1 0.0016 0.6458 0.1187 1
Dy2 0.1187 0.0016 0.6458 1
Dy3 0.2191 0.6346 0.7606 1
Dy4 0.2394 0.7809 0.3654 1
Dy5 0.3542 0.8813 0.9984 1
Dy6 0.3654 0.2394 0.7809 1
Dy7 0.6346 0.7606 0.2191 1
Dy8 0.6458 0.1187 0.0016 1
Dy9 0.7606 0.2191 0.6346 1
Dy10 0.7809 0.3654 0.2394 1
Dy11 0.8813 0.9984 0.3542 1
Dy12 0.9984 0.3542 0.8813 1
Er1 0.0000 0.0000 0.0000 1
Er2 0.1197 0.3462 0.4492 1
Er3 0.3462 0.4492 0.1197 1
Er4 0.4492 0.1197 0.3462 1
Er5 0.5508 0.8803 0.6538 1
Er6 0.6538 0.5508 0.8803 1
Er7 0.8803 0.6538 0.5508 1
Th1 0.5000 0.5000 0.5000 1
```

Results
Energy above the lowest structure with this stoichiometry   0 kJ/mol of formula units
E_form   0.241 eV/atom
Space-group type   R-3 (148)

no.,calculated total energy (eV/atom)
1,-4.87
2,-4.90
3,-4.80
4,-4.81
5,-5.06
6,-6.13
7,-5.70
8,-4.96
9,-4.13
10,-4.49